Entry from Alexandria: a relaxed structure of MgSbP2 (PBE).

```
MgSbP2
1.0
3.327 -1.920 0.000
3.327 1.920 0.000
-2.241 0.000 6.389
Mg Sb P
1 1 2
Direct
0.000 0.000 0.000 Mg
0.500 0.500 0.500 Sb
0.251 0.251 0.751 P
0.749 0.749 0.249 P
```

## Properties
The value obtained for the energy is -4.253 eV per atom. The formation energy without anion corrections comes out at -0.12 eV/atom. As for the space-group type: C2/m. For the energy above the most stable polymorph in this dataset, the calculation gives 6 meV/atom. The calculation puts the magnetic moment at 0.00 Bohr magnetons per cell.

=====

Entry from Alexandria: a relaxed structure of MgSbP (PBE).

```
MgSbP
1.0
2.205 1.273 9.929
-2.205 1.273 9.929
0.000 -2.546 9.929
Mg Sb P
2 2 2
Direct
0.128 0.128 0.128 Mg
0.872 0.872 0.872 Mg
0.306 0.306 0.306 Sb
0.694 0.694 0.694 Sb
0.219 0.219 0.219 P
0.781 0.781 0.781 P
```

## Properties
The value obtained for the energy is -3.860 eV per atom. The formation energy without anion corrections comes out at -0.15 eV/atom. As for the space-group type: R-3m. For the energy above the most stable polymorph in this dataset, the calculation gives 0 meV/atom. The calculation puts the magnetic moment at 0.00 Bohr magnetons per cell.

=====

Entry from Alexandria: a relaxed structure of Mg2SbP (PBE).

```
Mg2SbP
1.0
2.999 -3.765 0.000
2.999 3.765 0.000
-0.584 0.000 3.755
Mg Sb P
2 1 1
Direct
0.000 0.500 0.000 Mg
0.500 0.000 0.000 Mg
0.000 0.000 0.500 Sb
0.500 0.500 0.500 P
```

## Properties
The value obtained for the energy is -3.273 eV per atom. The formation energy without anion corrections comes out at -0.09 eV/atom. As for the space-group type: C2/m. For the energy above the most stable polymorph in this dataset, the calculation gives 237 meV/atom. The calculation puts the magnetic moment at 0.00 Bohr magnetons per cell.

=====

Entry from Alexandria: a relaxed structure of MgTc2SbP (PBE).

```
MgTc2SbP
1.0
4.499 0.000 0.000
0.000 4.499 0.000
0.000 0.000 4.614
Mg Tc Sb P
1 2 1 1
Direct
0.000 0.000 0.000 Mg
0.000 0.500 0.500 Tc
0.500 0.000 0.500 Tc
0.500 0.500 0.000 Sb
0.000 0.000 0.500 P
```

## Properties
The value obtained for the energy is -6.042 eV per atom. The formation energy without anion corrections comes out at 0.33 eV/atom. As for the space-group type: P4/mmm. The calculation puts the magnetic moment at 0.90 Bohr magnetons per cell.

=====

Entry from Alexandria: a relaxed structure of MgSb2TeP (PBE).

```
MgSb2TeP
1.0
5.325 0.000 0.000
0.000 5.325 0.000
0.000 0.000 5.299
Mg Sb Te P
1 2 1 1
Direct
0.000 0.000 0.000 Mg
0.000 0.500 0.000 Sb
0.500 0.000 0.000 Sb
0.000 0.000 0.500 Te
0.500 0.500 0.500 P
```

## Properties
The value obtained for the energy is -2.792 eV per atom. The formation energy without anion corrections comes out at 0.89 eV/atom. As for the space-group type: P4/mmm. For the energy above the most stable polymorph in this dataset, the calculation gives 456 meV/atom. The calculation puts the magnetic moment at 0.00 Bohr magnetons per cell.

=====

Entry from Alexandria: a relaxed structure of MgSb2TeP (PBE).

```
MgSb2TeP
1.0
5.160 0.000 0.000
0.000 5.160 0.000
0.000 0.000 5.421
Mg Sb Te P
1 2 1 1
Direct
0.000 0.000 0.000 Mg
0.000 0.500 0.500 Sb
0.500 0.000 0.500 Sb
0.500 0.500 0.000 Te
0.500 0.500 0.500 P
```

## Properties
The value obtained for the energy is -3.248 eV per atom. The formation energy without anion corrections comes out at 0.43 eV/atom. As for the space-group type: P4/mmm. For the energy above the most stable polymorph in this dataset, the calculation gives 0 meV/atom. The calculation puts the magnetic moment at 0.00 Bohr magnetons per cell.